--- P ---
Material: Tb4Pr7Er
Method: DFT, GGA-PBE
State: optimized geometry

The structure in POSCAR format:
```
Tb4Pr7Er
1.0
6.057 0.000 0.000
3.028 9.163 2.083
3.028 1.744 7.978
Pr Tb Er
7 4 1
direct
0.791 0.880 0.538 Pr
0.791 0.230 0.188 Pr
0.209 0.120 0.462 Pr
0.209 0.770 0.812 Pr
0.500 0.000 0.000 Pr
0.917 0.443 0.724 Pr
0.083 0.557 0.276 Pr
0.429 0.697 0.446 Tb
0.571 0.303 0.554 Tb
0.328 0.389 0.955 Tb
0.672 0.611 0.045 Tb
0.000 0.000 0.000 Er
```

Values from the calculation:
symmetry: C2/m
magnetic moment: 0.00 μB/f.u.
calculated volume: 420.8 Å³/cell
DOS at the Fermi energy: 19.31 states/eV/cell


--- Q ---
Material: Tb4Pr7Er
Method: DFT, GGA-PBE
State: optimized geometry

The structure in POSCAR format:
```
Tb4Pr7Er
1.0
6.533 -1.874 2.783
0.726 5.908 2.275
2.864 -2.330 11.068
Tb Pr Er
4 7 1
direct
0.583 0.277 0.668 Tb
0.165 0.221 0.335 Tb
0.835 0.779 0.665 Tb
0.417 0.723 0.332 Tb
0.334 0.779 0.666 Pr
0.666 0.221 0.334 Pr
0.253 0.499 0.998 Pr
0.500 0.000 0.000 Pr
0.747 0.501 0.002 Pr
0.082 0.279 0.667 Pr
0.918 0.721 0.333 Pr
0.000 0.000 0.000 Er
```

Values from the calculation:
symmetry: P-1
magnetic moment: 0.00 μB/f.u.
calculated volume: 412.9 Å³/cell
DOS at the Fermi energy: 15.58 states/eV/cell


Ordering by calculated energy gives the sequence Q, P, with the first entry being the most stable.


--- P ---
Material: Tb5Pr2Er4
Method: DFT, GGA-PBE
State: optimized geometry

The structure in POSCAR format:
```
Tb5Pr2Er4
1.0
3.527 0.000 -0.565
-0.291 8.544 -1.818
0.087 -0.477 11.823
Er Pr Tb
4 2 5
direct
0.047 0.362 0.094 Er
0.953 0.638 0.906 Er
0.318 0.547 0.635 Er
0.682 0.453 0.365 Er
0.409 0.274 0.819 Pr
0.591 0.726 0.181 Pr
0.228 0.816 0.456 Tb
0.137 0.094 0.274 Tb
0.863 0.906 0.726 Tb
0.500 0.000 0.000 Tb
0.772 0.184 0.544 Tb
```

Values from the calculation:
symmetry: C2/m
magnetic moment: 0.00 μB/f.u.
calculated volume: 353.5 Å³/cell
DOS at the Fermi energy: 14.88 states/eV/cell


--- Q ---
Material: Tb5Pr2Er4
Method: DFT, GGA-PBE
State: optimized geometry

The structure in POSCAR format:
```
Tb5Pr2Er4
1.0
3.487 0.000 0.000
0.000 11.486 0.000
-1.743 -5.743 9.200
Tb Er Pr
5 4 2
direct
0.177 0.465 0.354 Tb
0.823 0.535 0.646 Tb
0.823 0.111 0.646 Tb
0.177 0.889 0.354 Tb
0.500 0.000 0.000 Tb
0.589 0.589 0.178 Er
0.000 0.724 0.000 Er
0.411 0.411 0.822 Er
0.000 0.276 0.000 Er
0.797 0.797 0.594 Pr
0.203 0.203 0.406 Pr
```

Values from the calculation:
symmetry: Immm
magnetic moment: 0.00 μB/f.u.
calculated volume: 368.4 Å³/cell
DOS at the Fermi energy: 13.66 states/eV/cell


Ordering by calculated energy gives the sequence P, Q, with the first entry being the most stable.


--- P ---
Material: Tb3Pr6Er2
Method: DFT, GGA-PBE
State: optimized geometry

The structure in POSCAR format:
```
Tb3Pr6Er2
1.0
-4.114 -0.364 2.401
-1.614 -3.121 -3.237
9.373 -11.163 9.616
Pr Tb Er
6 3 2
direct
0.293 0.293 0.587 Pr
0.881 0.381 0.762 Pr
0.707 0.707 0.413 Pr
0.619 0.119 0.238 Pr
0.381 0.881 0.762 Pr
0.119 0.619 0.238 Pr
0.000 0.000 0.000 Tb
0.193 0.193 0.386 Tb
0.807 0.807 0.614 Tb
0.545 0.545 0.089 Er
0.455 0.455 0.911 Er
```

Values from the calculation:
symmetry: I4/mmm
magnetic moment: 0.00 μB/f.u.
calculated volume: 391.1 Å³/cell
DOS at the Fermi energy: 16.71 states/eV/cell


--- Q ---
Material: Tb3Pr6Er2
Method: DFT, GGA-PBE
State: optimized geometry

The structure in POSCAR format:
```
Tb3Pr6Er2
1.0
6.407 -1.477 2.253
-1.598 5.955 -0.323
3.057 -1.714 11.574
Pr Tb Er
6 3 2
direct
0.727 0.564 0.547 Pr
0.273 0.436 0.453 Pr
0.925 0.508 0.182 Pr
0.626 0.103 0.727 Pr
0.374 0.897 0.273 Pr
0.075 0.492 0.818 Pr
0.187 0.977 0.633 Tb
0.000 0.000 0.000 Tb
0.813 0.023 0.367 Tb
0.446 0.316 0.101 Er
0.554 0.684 0.899 Er
```

Values from the calculation:
symmetry: P-1
magnetic moment: 0.00 μB/f.u.
calculated volume: 377.3 Å³/cell
DOS at the Fermi energy: 18.09 states/eV/cell


Ordering by calculated energy gives the sequence Q, P, with the first entry being the most stable.


--- P ---
Material: Tb2Pr7Er2
Method: DFT, GGA-PBE
State: optimized geometry

The structure in POSCAR format:
```
Tb2Pr7Er2
1.0
-2.760 -4.610 -3.017
-2.546 -5.159 5.818
-7.699 2.507 -1.181
Er Tb Pr
2 2 7
direct
0.500 0.215 0.785 Er
0.500 0.785 0.215 Er
0.591 0.774 0.774 Tb
0.409 0.226 0.226 Tb
0.181 0.586 0.049 Pr
0.799 0.426 0.426 Pr
0.819 0.414 0.951 Pr
0.181 0.049 0.586 Pr
0.819 0.951 0.414 Pr
0.000 0.000 0.000 Pr
0.201 0.574 0.574 Pr
```

Values from the calculation:
symmetry: C2/m
magnetic moment: 0.00 μB/f.u.
calculated volume: 382.9 Å³/cell
DOS at the Fermi energy: 15.40 states/eV/cell


--- Q ---
Material: Tb2Pr7Er2
Method: DFT, GGA-PBE
State: optimized geometry

The structure in POSCAR format:
```
Tb2Pr7Er2
1.0
-4.627 -3.087 6.168
-4.901 -3.182 -3.891
4.254 -5.232 1.950
Pr Er Tb
7 2 2
direct
0.516 0.200 0.200 Pr
0.000 0.000 0.000 Pr
0.829 0.485 0.909 Pr
0.484 0.800 0.800 Pr
0.829 0.909 0.485 Pr
0.171 0.515 0.091 Pr
0.171 0.091 0.515 Pr
0.500 0.713 0.287 Er
0.500 0.287 0.713 Er
0.179 0.584 0.584 Tb
0.821 0.416 0.416 Tb
```

Values from the calculation:
symmetry: C2/m
magnetic moment: 0.00 μB/f.u.
calculated volume: 386.1 Å³/cell
DOS at the Fermi energy: 16.32 states/eV/cell


Ordering by calculated energy gives the sequence Q, P, with the first entry being the most stable.


--- P ---
Material: TbPr4Er4
Method: DFT, GGA-PBE
State: optimized geometry

The structure in POSCAR format:
```
TbPr4Er4
1.0
-4.000 3.871 1.062
-4.113 -2.191 7.753
0.683 2.521 8.598
Er Pr Tb
4 4 1
direct
0.070 0.233 0.626 Er
0.381 0.575 0.665 Er
0.930 0.767 0.374 Er
0.619 0.425 0.335 Er
0.280 0.156 0.284 Pr
0.868 0.310 0.957 Pr
0.132 0.690 0.043 Pr
0.720 0.844 0.716 Pr
0.500 0.000 0.000 Tb
```

Values from the calculation:
symmetry: P-1
magnetic moment: 0.00 μB/f.u.
calculated volume: 301.5 Å³/cell
DOS at the Fermi energy: 14.82 states/eV/cell


--- Q ---
Material: TbPr4Er4
Method: DFT, GGA-PBE
State: optimized geometry

The structure in POSCAR format:
```
TbPr4Er4
1.0
5.084 0.000 0.000
2.542 7.656 0.000
2.542 0.000 7.656
Er Pr Tb
4 4 1
direct
0.000 0.336 0.664 Er
0.000 0.664 0.336 Er
0.664 0.336 0.336 Er
0.336 0.664 0.664 Er
0.667 0.000 0.666 Pr
0.667 0.666 0.000 Pr
0.333 0.334 0.000 Pr
0.333 0.000 0.334 Pr
0.000 0.000 0.000 Tb
```

Values from the calculation:
symmetry: I4/mmm
magnetic moment: 0.00 μB/f.u.
calculated volume: 298.0 Å³/cell
DOS at the Fermi energy: 13.34 states/eV/cell


Ordering by calculated energy gives the sequence Q, P, with the first entry being the most stable.


--- P ---
Material: Tb3PrEr2
Method: DFT, GGA-PBE
State: optimized geometry

The structure in POSCAR format:
```
Tb3PrEr2
1.0
7.770 -0.281 0.741
-1.212 7.680 0.741
-0.704 -0.795 6.446
Tb Pr Er
6 2 4
direct
0.721 0.279 0.250 Tb
0.325 0.323 0.507 Tb
0.323 0.325 0.007 Tb
0.677 0.675 0.993 Tb
0.675 0.677 0.493 Tb
0.279 0.721 0.750 Tb
0.001 0.999 0.250 Pr
0.999 0.001 0.750 Pr
0.584 0.071 0.753 Er
0.071 0.584 0.253 Er
0.929 0.416 0.747 Er
0.416 0.929 0.247 Er
```

Values from the calculation:
symmetry: C2/c
magnetic moment: 0.00 μB/f.u.
calculated volume: 391.9 Å³/cell
DOS at the Fermi energy: 20.00 states/eV/cell


--- Q ---
Material: Tb3PrEr2
Method: DFT, GGA-PBE
State: optimized geometry

The structure in POSCAR format:
```
Tb3PrEr2
1.0
6.944 -1.164 -1.443
-4.087 9.346 -0.410
-2.166 0.718 6.808
Er Pr Tb
4 2 6
direct
0.697 0.335 0.139 Er
0.303 0.665 0.861 Er
0.698 0.337 0.640 Er
0.302 0.663 0.360 Er
0.252 0.002 0.251 Pr
0.748 0.998 0.749 Pr
0.197 0.337 0.139 Tb
0.804 0.664 0.361 Tb
0.196 0.336 0.639 Tb
0.803 0.663 0.861 Tb
0.749 0.999 0.249 Tb
0.251 0.001 0.751 Tb
```

Values from the calculation:
symmetry: P-1
magnetic moment: 0.00 μB/f.u.
calculated volume: 385.5 Å³/cell
DOS at the Fermi energy: 15.00 states/eV/cell


Ordering by calculated energy gives the sequence Q, P, with the first entry being the most stable.


--- P ---
Material: Tb2Pr5Er3
Method: DFT, GGA-PBE
State: optimized geometry

The structure in POSCAR format:
```
Tb2Pr5Er3
1.0
8.868 2.106 -4.333
0.642 9.070 -4.387
-2.316 -2.658 10.775
Pr Er Tb
10 6 4
direct
0.481 0.731 0.462 Pr
0.021 0.771 0.543 Pr
0.118 0.367 0.240 Pr
0.729 0.479 0.958 Pr
0.271 0.521 0.042 Pr
0.379 0.127 0.760 Pr
0.621 0.873 0.240 Pr
0.882 0.633 0.760 Pr
0.979 0.229 0.457 Pr
0.519 0.269 0.538 Pr
0.228 0.978 0.955 Er
0.772 0.022 0.045 Er
0.721 0.470 0.249 Er
0.279 0.530 0.751 Er
0.972 0.221 0.751 Er
0.028 0.779 0.249 Er
0.218 0.966 0.242 Tb
0.476 0.724 0.758 Tb
0.524 0.276 0.242 Tb
0.782 0.034 0.758 Tb
```

Values from the calculation:
symmetry: C2/c
magnetic moment: 0.00 μB/f.u.
calculated volume: 686.4 Å³/cell
DOS at the Fermi energy: 34.40 states/eV/cell


--- Q ---
Material: Tb2Pr5Er3
Method: DFT, GGA-PBE
State: optimized geometry

The structure in POSCAR format:
```
Tb2Pr5Er3
1.0
-8.814 -6.312 -2.006
-1.658 -8.755 4.532
-7.346 -1.474 6.618
Er Pr Tb
6 10 4
direct
0.376 0.374 0.873 Er
0.876 0.873 0.374 Er
0.750 0.000 0.000 Er
0.624 0.626 0.127 Er
0.124 0.127 0.626 Er
0.250 0.000 0.000 Er
0.004 0.246 0.246 Pr
0.871 0.525 0.733 Pr
0.129 0.475 0.267 Pr
0.504 0.246 0.246 Pr
0.496 0.754 0.754 Pr
0.371 0.733 0.525 Pr
0.996 0.754 0.754 Pr
0.250 0.500 0.500 Pr
0.629 0.267 0.475 Pr
0.750 0.500 0.500 Pr
0.382 0.029 0.207 Tb
0.882 0.207 0.029 Tb
0.618 0.971 0.793 Tb
0.118 0.793 0.971 Tb
```

Values from the calculation:
symmetry: Ibam
magnetic moment: 0.00 μB/f.u.
calculated volume: 716.8 Å³/cell
DOS at the Fermi energy: 27.75 states/eV/cell


Ordering by calculated energy gives the sequence P, Q, with the first entry being the most stable.


--- P ---
Material: Tb2Pr3Er
Method: DFT, GGA-PBE
State: optimized geometry

The structure in POSCAR format:
```
Tb2Pr3Er
1.0
5.739 0.000 -1.479
-0.679 7.075 -2.636
-0.414 -0.276 10.267
Pr Tb Er
6 4 2
direct
0.845 0.095 0.691 Pr
0.155 0.405 0.309 Pr
0.845 0.595 0.691 Pr
0.500 0.750 0.000 Pr
0.500 0.250 0.000 Pr
0.155 0.905 0.309 Pr
0.323 0.323 0.645 Tb
0.323 0.823 0.645 Tb
0.677 0.677 0.355 Tb
0.677 0.177 0.355 Tb
0.000 0.500 0.000 Er
0.000 0.000 0.000 Er
```

Values from the calculation:
symmetry: Cmmm
magnetic moment: 0.00 μB/f.u.
calculated volume: 408.1 Å³/cell
DOS at the Fermi energy: 21.15 states/eV/cell


--- Q ---
Material: Tb2Pr3Er
Method: DFT, GGA-PBE
State: optimized geometry

The structure in POSCAR format:
```
Tb2Pr3Er
1.0
11.675 0.000 0.000
0.000 6.312 -0.292
0.000 -2.903 5.613
Pr Tb Er
6 4 2
direct
0.970 0.834 0.166 Pr
0.970 0.500 0.500 Pr
0.470 0.834 0.166 Pr
0.470 0.166 0.834 Pr
0.970 0.166 0.834 Pr
0.470 0.500 0.500 Pr
0.220 0.500 0.834 Tb
0.720 0.500 0.166 Tb
0.220 0.834 0.500 Tb
0.720 0.166 0.500 Tb
0.220 0.167 0.167 Er
0.720 0.833 0.833 Er
```

Values from the calculation:
symmetry: Cmcm
magnetic moment: 0.00 μB/f.u.
calculated volume: 403.7 Å³/cell
DOS at the Fermi energy: 14.50 states/eV/cell


Ordering by calculated energy gives the sequence Q, P, with the first entry being the most stable.